No. 1
Rb3Pa2Te7: relaxed, PBE.

Unit cell a=5.9594 b=5.9748 c=14.2470 alpha=77.91 beta=89.94 gamma=89.85
Atoms (fractional coordinates):
Rb1 0.0000 0.0000 0.0000
Rb2 0.0009 0.8091 0.3821
Rb3 0.9991 0.1909 0.6179
Pa1 0.5002 0.3925 0.2148
Pa2 0.4998 0.6075 0.7852
Te1 0.0002 0.3976 0.2042
Te2 0.9998 0.6024 0.7958
Te3 0.4994 0.1070 0.7862
Te4 0.4993 0.2878 0.4251
Te5 0.5000 0.5000 0.0000
Te6 0.5007 0.7122 0.5749
Te7 0.5006 0.8930 0.2138

Properties
Polymorph energy (0 for the lowest one) in eV/atom: 0.000
D(E_F) in states/eV per atom: 0.377
Crystal system: triclinic
Formation energy from raw total energies in eV/atom: -0.9001

=====

No. 2
RbPaTe3: relaxed, PBE.

Unit cell a=8.1134 b=8.1134 c=7.5380 alpha=90.00 beta=90.00 gamma=120.00
Atoms (fractional coordinates):
Rb1 0.3333 0.6667 0.2500
Rb2 0.6667 0.3333 0.7500
Pa1 0.0000 0.0000 0.0000
Pa2 0.0000 0.0000 0.5000
Te1 0.1684 0.3367 0.7500
Te2 0.1684 0.8316 0.7500
Te3 0.3367 0.1684 0.2500
Te4 0.6633 0.8316 0.7500
Te5 0.8316 0.1684 0.2500
Te6 0.8316 0.6633 0.2500

Properties
Polymorph energy (0 for the lowest one) in eV/atom: 0.000
D(E_F) in states/eV per atom: 0.152
Crystal system: hexagonal
Formation energy from raw total energies in eV/atom: -0.9268

=====

No. 3
RbPaTe4: relaxed, PBE.

Unit cell a=8.9176 b=8.9176 c=8.0920 alpha=94.86 beta=94.86 gamma=52.98
Atoms (fractional coordinates):
Rb1 0.1985 0.1985 0.1817
Rb2 0.8015 0.8015 0.8183
Pa1 0.4580 0.4580 0.7297
Pa2 0.5420 0.5420 0.2703
Te1 0.1589 0.6695 0.4478
Te2 0.2491 0.7509 0.0000
Te3 0.2768 0.2768 0.7419
Te4 0.3305 0.8411 0.5522
Te5 0.6695 0.1589 0.4478
Te6 0.7232 0.7232 0.2581
Te7 0.7509 0.2491 0.0000
Te8 0.8411 0.3305 0.5522

Properties
Polymorph energy (0 for the lowest one) in eV/atom: 0.010
Crystal system: monoclinic
Formation energy from raw total energies in eV/atom: -0.7340